# Fe3CuF | Alexandria via LeMat-Bulk | PBE+U | relaxed
# Offset from the most stable computed form = 0.0 meV per atom
# DOS(E_F) = 0.948 states/eV per atom
data_Fe3CuF
_chemical_formula_sum 'Fe3 Cu1 F1'
_symmetry_space_group_name_H-M 'P m -3 m'
_symmetry_Int_Tables_number 221
_symmetry_space_group_name_Hall '-P 4 2 3'
_cell_length_a 4.182
_cell_length_b 4.182
_cell_length_c 4.182
_cell_angle_alpha 90.00
_cell_angle_beta 90.00
_cell_angle_gamma 90.00
loop_
_atom_site_label
_atom_site_fract_x
_atom_site_fract_y
_atom_site_fract_z
Fe1 0.000 0.000 0.500
Cu1 0.500 0.500 0.500
F1 0.000 0.000 0.000